1.
Entry from Alexandria: a geometry-optimized Y2InAs structure (GGA-PBE).

a = 5.2269 Å, b = 5.2269 Å, c = 5.2269 Å
α = 60.00°, β = 60.00°, γ = 60.00°
With the nearest neighbours (Å) after each atom.
Positions (direct):
As (0.0000, 0.0000, 0.0000)  8 Y 3.20
In (0.5000, 0.5000, 0.5000)  8 Y 3.20
Y (0.2500, 0.2500, 0.2500)  4 In 3.20, 4 As 3.20
Y (0.7500, 0.7500, 0.7500)  4 As 3.20, 4 In 3.20

Energy above the lowest structure with this stoichiometry   9.18 kcal/mol of atoms
E_tot   -5.6672 eV/atom
Volume   25.2 A^3/atom



2.
Entry from Alexandria: a geometry-optimized ZnNi6P3 structure (GGA-PBE).

a = 5.6267 Å, b = 6.7021 Å, c = 6.7021 Å
α = 106.04°, β = 90.00°, γ = 90.00°
With the nearest neighbours (Å) after each atom.
Positions (direct):
Ni (0.6504, 0.2875, 0.3539)  4 P 2.22-2.30
Ni (0.0969, 0.7420, 0.2580)  3 P 2.18-2.26
Ni (0.6504, 0.6461, 0.7125)  4 P 2.22-2.30
Ni (0.2858, 0.0708, 0.4762)  3 P 2.22-2.26
Ni (0.7364, 0.0204, 0.9796)  4 P 2.35-2.36, 1 Zn 2.53
Ni (0.1504, 0.7125, 0.6461)  4 P 2.22-2.30
Ni (0.5969, 0.2580, 0.7420)  3 P 2.18-2.26
Ni (0.1504, 0.3539, 0.2875)  4 P 2.22-2.30
Ni (0.7858, 0.9292, 0.5238)  3 P 2.22-2.26
Ni (0.2364, 0.9796, 0.0204)  4 P 2.35-2.36, 1 Zn 2.53
Ni (0.2858, 0.5238, 0.9292)  3 P 2.22-2.26
Ni (0.7858, 0.4762, 0.0708)  3 P 2.22-2.26
P (0.4511, 0.9373, 0.7115)  7 Ni 2.22-2.36
P (0.3493, 0.4150, 0.5850)  7 Ni 2.18-2.30
P (0.8493, 0.5850, 0.4150)  7 Ni 2.18-2.30
P (0.9511, 0.7115, 0.9373)  7 Ni 2.22-2.36
P (0.4511, 0.2885, 0.0627)  7 Ni 2.22-2.36
P (0.9511, 0.0627, 0.2885)  7 Ni 2.22-2.36
Zn (0.0282, 0.2007, 0.7993)  7 Ni 2.50-2.64
Zn (0.5282, 0.7993, 0.2007)  7 Ni 2.50-2.64

E_tot   -5.6259 eV/atom
Volume   12.1 A^3/atom